[1]
Below is a geometry-optimized RbGa2Sb2 structure, with properties calculated at the PBE level.

Raw formation energy: -0.018 eV per atom
Total DFT energy (no corrections): -3.07 eV per atom
E above lowest polymorph: 1.31 eV/f.u.
Density of states at the Fermi level: 2.12 states/eV/f.u.
Symmetry: P4/mmm

Unit cell a=4.0261 b=4.0261 c=9.4066 alpha=90.00 beta=90.00 gamma=90.00
Last column: nearest neighbours and their distance in Å.
Atoms (fractional coordinates):
Rb 0.0000 0.0000 0.0000  8 Sb 3.86, 4 Rb 4.03
Ga 0.0000 0.5000 0.5000  4 Ga 2.85, 4 Sb 2.91
Ga 0.5000 0.0000 0.5000  4 Ga 2.85, 4 Sb 2.91
Sb 0.5000 0.5000 0.2772  4 Ga 2.91
Sb 0.5000 0.5000 0.7228  4 Ga 2.91


[2]
Below is a geometry-optimized La2Si3GePd4 structure, with properties calculated at the PBE level.

Raw formation energy: -0.896 eV per atom
Total DFT energy (no corrections): -6.05 eV per atom
Density of states at the Fermi level: 5.91 states/eV/f.u.
Symmetry: P-4m2

Unit cell a=4.3395 b=4.3395 c=10.0189 alpha=90.00 beta=90.00 gamma=90.00
Last column: nearest neighbours and their distance in Å.
Atoms (fractional coordinates):
La 0.0000 0.5000 0.2467  8 Pd 3.29-3.34, 2 Ge 3.29, 6 Si 3.29-3.33
La 0.5000 0.0000 0.7533  8 Pd 3.29-3.34, 2 Ge 3.29, 6 Si 3.29-3.33
Si 0.0000 0.0000 0.0000  4 Pd 2.53
Si 0.0000 0.5000 0.6250  5 Pd 2.46-2.51
Si 0.5000 0.0000 0.3750  5 Pd 2.46-2.51
Ge 0.5000 0.5000 0.0000  4 Pd 2.53
Pd 0.0000 0.0000 0.5000  4 Si 2.51
Pd 0.0000 0.5000 0.8708  3 Si 2.46-2.53, 2 Ge 2.53
Pd 0.5000 0.0000 0.1292  3 Si 2.46-2.53, 2 Ge 2.53
Pd 0.5000 0.5000 0.5000  4 Si 2.51


[3]
Below is a geometry-optimized NpSiC structure, with properties calculated at the PBE level.

Raw formation energy: 0.398 eV per atom
Total DFT energy (no corrections): -8.80 eV per atom
E above lowest polymorph: 0.00 eV/f.u.
Density of states at the Fermi level: 5.34 states/eV/f.u.
Symmetry: Cmcm

Unit cell a=3.2677 b=14.2358 c=3.6230 alpha=90.00 beta=90.00 gamma=90.00
Last column: nearest neighbours and their distance in Å.
Atoms (fractional coordinates):
Np 0.0000 0.0837 0.2500  4 C 2.44
Np 0.0000 0.9163 0.7500  4 C 2.44
Np 0.5000 0.4163 0.7500  4 C 2.44
Np 0.5000 0.5837 0.2500  4 C 2.44
Si 0.0000 0.2421 0.7500  4 Si 2.45
Si 0.0000 0.7579 0.2500  4 Si 2.45
Si 0.5000 0.2579 0.2500  4 Si 2.45
Si 0.5000 0.7421 0.7500  4 Si 2.45
C 0.0000 0.4170 0.2500  4 Np 2.44
C 0.0000 0.5830 0.7500  4 Np 2.44
C 0.5000 0.0830 0.7500  4 Np 2.44
C 0.5000 0.9170 0.2500  4 Np 2.44


[4]
Below is a geometry-optimized NdErNp structure, with properties calculated at the PBE level.

E_form: 0.25 eV/atom
Total DFT energy (no corrections): -7.18 eV per atom
Density of states at the Fermi level: 5.98 states/eV/f.u.
Symmetry: C2/m

Unit cell a=16.8617 b=3.5433 c=6.0095 alpha=90.00 beta=102.57 gamma=90.00
Last column: nearest neighbours and their distance in Å.
Atoms (fractional coordinates):
Nd 0.1243 0.0000 0.3247  4 Np 3.31-3.69, 2 Nd 3.54, 6 Er 3.59-3.63
Nd 0.3757 0.5000 0.6753  4 Np 3.31-3.69, 2 Nd 3.54, 6 Er 3.59-3.63
Nd 0.6243 0.5000 0.3247  4 Np 3.31-3.69, 2 Nd 3.54, 6 Er 3.59-3.63
Nd 0.8757 0.0000 0.6753  4 Np 3.31-3.69, 2 Nd 3.54, 6 Er 3.59-3.63
Er 0.0674 0.5000 0.7938  3 Np 3.32-3.48, 3 Er 3.54-3.71, 6 Nd 3.59-3.63
Er 0.4326 0.0000 0.2062  3 Np 3.32-3.48, 3 Er 3.54-3.71, 6 Nd 3.59-3.63
Er 0.5674 0.0000 0.7938  3 Np 3.32-3.48, 3 Er 3.54-3.71, 6 Nd 3.59-3.63
Er 0.9326 0.5000 0.2062  3 Np 3.32-3.48, 3 Er 3.54-3.71, 6 Nd 3.59-3.63
Np 0.2378 0.0000 0.8640  2 Np 2.38
Np 0.2622 0.5000 0.1360  2 Np 2.38
Np 0.7378 0.5000 0.8640  2 Np 2.38
Np 0.7622 0.0000 0.1360  2 Np 2.38


[5]
Below is a geometry-optimized CsI2 structure, with properties calculated at the PBE level.

Raw formation energy: -1.034 eV per atom
Total DFT energy (no corrections): -2.35 eV per atom
E above lowest polymorph: 0.09 eV/f.u.
Density of states at the Fermi level: 2.15 states/eV/f.u.
Symmetry: I4/mmm

Unit cell a=7.2712 b=7.2712 c=6.5773 alpha=90.00 beta=90.00 gamma=90.00
Last column: nearest neighbours and their distance in Å.
Atoms (fractional coordinates):
Cs 0.0000 0.0000 0.0000  8 I 3.99
Cs 0.5000 0.5000 0.5000  8 I 3.99
I 0.0000 0.5000 0.2500  2 I 3.29
I 0.0000 0.5000 0.7500  2 I 3.29
I 0.5000 0.0000 0.2500  2 I 3.29
I 0.5000 0.0000 0.7500  2 I 3.29


[6]
Below is a geometry-optimized Sr2BePb structure, with properties calculated at the PBE level.

E_form: 0.27 eV/atom
Total DFT energy (no corrections): -2.43 eV per atom
E above lowest polymorph: 1.42 eV/f.u.
Density of states at the Fermi level: 2.96 states/eV/f.u.
Symmetry: Pmm2

Unit cell a=3.9647 b=5.4796 c=6.6706 alpha=90.00 beta=90.00 gamma=90.00
Last column: nearest neighbours and their distance in Å.
Atoms (fractional coordinates):
Sr 0.0000 0.0000 0.0000  2 Be 3.33-3.34, 4 Pb 3.39
Sr 0.5000 0.5000 0.4724  2 Pb 3.31-3.36, 4 Be 3.39
Be 0.0000 0.0000 0.5013  6 Sr 3.33-3.39
Pb 0.5000 0.5000 0.9682  6 Sr 3.31-3.39


[7]
Below is a geometry-optimized PmGd2Mn structure, with properties calculated at the PBE level.

E_form: 0.11 eV/atom
Total DFT energy (no corrections): -10.41 eV per atom
Density of states at the Fermi level: 6.32 states/eV/f.u.
Symmetry: P4/mmm

Unit cell a=3.5188 b=3.5188 c=9.0384 alpha=90.00 beta=90.00 gamma=90.00
Last column: nearest neighbours and their distance in Å.
Atoms (fractional coordinates):
Pm 0.0000 0.0000 0.0000  4 Pm 3.52, 8 Gd 3.71
Gd 0.5000 0.5000 0.3042  4 Mn 3.05
Gd 0.5000 0.5000 0.6958  4 Mn 3.05
Mn 0.0000 0.0000 0.5000  8 Gd 3.05


[8]
Below is a geometry-optimized MnZn6Pt5 structure, with properties calculated at the PBE level.

E_form: -0.49 eV/atom
Total DFT energy (no corrections): -4.40 eV per atom
Density of states at the Fermi level: 3.53 states/eV/f.u.
Symmetry: P2/m

Unit cell a=4.0265 b=7.1404 c=6.4129 alpha=90.00 beta=108.37 gamma=90.00
Last column: nearest neighbours and their distance in Å.
Atoms (fractional coordinates):
Mn 0.0000 0.0000 0.0000  8 Zn 2.72-2.73, 4 Pt 2.78
Zn 0.1694 0.2496 0.3388  7 Pt 2.67-2.76, 1 Mn 2.73, 4 Zn 2.81-2.88
Zn 0.1694 0.7504 0.3388  7 Pt 2.67-2.76, 1 Mn 2.73, 4 Zn 2.81-2.88
Zn 0.5000 0.2568 0.0000  6 Pt 2.65-2.68, 2 Mn 2.72, 4 Zn 2.88
Zn 0.5000 0.7432 0.0000  6 Pt 2.65-2.68, 2 Mn 2.72, 4 Zn 2.88
Zn 0.8306 0.2496 0.6612  7 Pt 2.67-2.76, 1 Mn 2.73, 4 Zn 2.81-2.88
Zn 0.8306 0.7504 0.6612  7 Pt 2.67-2.76, 1 Mn 2.73, 4 Zn 2.81-2.88
Pt 0.0000 0.5000 0.0000  8 Zn 2.66-2.73, 4 Pt 2.86
Pt 0.3328 0.5000 0.6656  8 Zn 2.67-2.69, 4 Pt 2.85-2.86
Pt 0.3424 0.0000 0.6849  8 Zn 2.65-2.76, 2 Mn 2.78
Pt 0.6576 0.0000 0.3151  8 Zn 2.65-2.76, 2 Mn 2.78
Pt 0.6672 0.5000 0.3344  8 Zn 2.67-2.69, 4 Pt 2.85-2.86


[9]
Below is a geometry-optimized LaPrO structure, with properties calculated at the PBE level.

Raw formation energy: -1.441 eV per atom
Total DFT energy (no corrections): -6.33 eV per atom
E above lowest polymorph: 0.76 eV/f.u.
Density of states at the Fermi level: 4.08 states/eV/f.u.
Symmetry: P4_2/mmc

Unit cell a=4.5424 b=4.5424 c=7.9584 alpha=90.00 beta=90.00 gamma=90.00
Last column: nearest neighbours and their distance in Å.
Atoms (fractional coordinates):
La 0.0000 0.0000 0.2500  4 O 3.02
La 0.0000 0.0000 0.7500  4 O 3.02
Pr 0.5000 0.5000 0.0000  2 O 2.27
Pr 0.5000 0.5000 0.5000  2 O 2.27
O 0.0000 0.5000 0.0000  2 Pr 2.27
O 0.5000 0.0000 0.5000  2 Pr 2.27


[10]
Below is a geometry-optimized TaCuGe2O8 structure, with properties calculated at the PBE level.

Raw formation energy: -1.525 eV per atom
Total DFT energy (no corrections): -6.93 eV per atom
Density of states at the Fermi level: 7.89 states/eV/f.u.
Symmetry: I-4m2

Unit cell a=5.5856 b=5.5856 c=5.5856 alpha=109.61 beta=109.61 gamma=109.20
Last column: nearest neighbours and their distance in Å.
Atoms (fractional coordinates):
Ta 0.0000 0.0000 0.0000  4 O 1.97
Cu 0.7500 0.2500 0.5000  4 O 2.02
Ge 0.2500 0.7500 0.5000  4 O 1.74
Ge 0.5000 0.5000 0.0000  4 O 1.80
O 0.0705 0.3685 0.2980  1 Ge 1.74
O 0.0705 0.7725 0.7020  1 Ge 1.74
O 0.1069 0.2962 0.8108  1 Ge 1.80
O 0.2275 0.9295 0.2980  1 Ge 1.74
O 0.4854 0.2962 0.1892  1 Ge 1.80
O 0.6315 0.9295 0.7020  1 Ge 1.74
O 0.7038 0.5146 0.8108  1 Ge 1.80
O 0.7038 0.8931 0.1892  1 Ge 1.80


[11]
Below is a geometry-optimized CdMoAs structure, with properties calculated at the PBE level.

E_form: 0.61 eV/atom
Total DFT energy (no corrections): -4.85 eV per atom
E above lowest polymorph: 1.52 eV/f.u.
Density of states at the Fermi level: 2.77 states/eV/f.u.
Symmetry: F-43m

Unit cell a=6.2932 b=6.2932 c=6.2932 alpha=90.00 beta=90.00 gamma=90.00
Last column: nearest neighbours and their distance in Å.
Atoms (fractional coordinates):
Cd 0.0000 0.0000 0.0000  4 Mo 2.73
Cd 0.0000 0.5000 0.5000  4 Mo 2.73
Cd 0.5000 0.0000 0.5000  4 Mo 2.73
Cd 0.5000 0.5000 0.0000  4 Mo 2.73
Mo 0.2500 0.2500 0.7500  4 Cd 2.73, 4 As 2.73
Mo 0.2500 0.7500 0.2500  4 Cd 2.73, 4 As 2.73
Mo 0.7500 0.2500 0.2500  4 Cd 2.73, 4 As 2.73
Mo 0.7500 0.7500 0.7500  4 Cd 2.73, 4 As 2.73
As 0.0000 0.0000 0.5000  4 Mo 2.73
As 0.0000 0.5000 0.0000  4 Mo 2.73
As 0.5000 0.0000 0.0000  4 Mo 2.73
As 0.5000 0.5000 0.5000  4 Mo 2.73


[12]
Below is a geometry-optimized Tm3Ge13Ru4 structure, with properties calculated at the PBE level.

E_form: -0.43 eV/atom
Total DFT energy (no corrections): -5.96 eV per atom
Density of states at the Fermi level: 7.51 states/eV/f.u.
Symmetry: Pm-3n

Unit cell a=9.0047 b=9.0047 c=9.0047 alpha=90.00 beta=90.00 gamma=90.00
Last column: nearest neighbours and their distance in Å.
Atoms (fractional coordinates):
Tm 0.0000 0.2500 0.5000  12 Ge 3.16-3.21, 4 Ru 3.18
Tm 0.0000 0.7500 0.5000  12 Ge 3.16-3.21, 4 Ru 3.18
Tm 0.2500 0.5000 0.0000  12 Ge 3.16-3.21, 4 Ru 3.18
Tm 0.5000 0.0000 0.2500  12 Ge 3.16-3.21, 4 Ru 3.18
Tm 0.5000 0.0000 0.7500  12 Ge 3.16-3.21, 4 Ru 3.18
Tm 0.7500 0.5000 0.0000  12 Ge 3.16-3.21, 4 Ru 3.18
Ge 0.0000 0.0000 0.0000  12 Ge 3.03
Ge 0.0000 0.3030 0.1473  2 Ru 2.48, 1 Ge 2.65
Ge 0.0000 0.3030 0.8527  2 Ru 2.48, 1 Ge 2.65
Ge 0.0000 0.6970 0.1473  2 Ru 2.48, 1 Ge 2.65
Ge 0.0000 0.6970 0.8527  2 Ru 2.48, 1 Ge 2.65
Ge 0.1473 0.0000 0.3030  2 Ru 2.48, 1 Ge 2.65
Ge 0.1473 0.0000 0.6970  2 Ru 2.48, 1 Ge 2.65
Ge 0.1970 0.5000 0.3527  2 Ru 2.48, 1 Ge 2.65
Ge 0.1970 0.5000 0.6473  2 Ru 2.48, 1 Ge 2.65
Ge 0.3030 0.1473 0.0000  2 Ru 2.48, 1 Ge 2.65
Ge 0.3030 0.8527 0.0000  2 Ru 2.48, 1 Ge 2.65
Ge 0.3527 0.1970 0.5000  2 Ru 2.48, 1 Ge 2.65
Ge 0.3527 0.8030 0.5000  2 Ru 2.48, 1 Ge 2.65
Ge 0.5000 0.3527 0.1970  2 Ru 2.48, 1 Ge 2.65
Ge 0.5000 0.3527 0.8030  2 Ru 2.48, 1 Ge 2.65
Ge 0.5000 0.5000 0.5000  12 Ge 3.03
Ge 0.5000 0.6473 0.1970  2 Ru 2.48, 1 Ge 2.65
Ge 0.5000 0.6473 0.8030  2 Ru 2.48, 1 Ge 2.65
Ge 0.6473 0.1970 0.5000  2 Ru 2.48, 1 Ge 2.65
Ge 0.6473 0.8030 0.5000  2 Ru 2.48, 1 Ge 2.65
Ge 0.6970 0.1473 0.0000  2 Ru 2.48, 1 Ge 2.65
Ge 0.6970 0.8527 0.0000  2 Ru 2.48, 1 Ge 2.65
Ge 0.8030 0.5000 0.3527  2 Ru 2.48, 1 Ge 2.65
Ge 0.8030 0.5000 0.6473  2 Ru 2.48, 1 Ge 2.65
Ge 0.8527 0.0000 0.3030  2 Ru 2.48, 1 Ge 2.65
Ge 0.8527 0.0000 0.6970  2 Ru 2.48, 1 Ge 2.65
Ru 0.2500 0.2500 0.2500  6 Ge 2.48
Ru 0.2500 0.2500 0.7500  6 Ge 2.48
Ru 0.2500 0.7500 0.2500  6 Ge 2.48
Ru 0.2500 0.7500 0.7500  6 Ge 2.48
Ru 0.7500 0.2500 0.2500  6 Ge 2.48
Ru 0.7500 0.2500 0.7500  6 Ge 2.48
Ru 0.7500 0.7500 0.2500  6 Ge 2.48
Ru 0.7500 0.7500 0.7500  6 Ge 2.48